Record 1
DFT (PBE-GGA) results for crystalline AsP5 at its relaxed geometry.

The space group is P4/mmm (No. 123) and the conventional cell measures 2.3573, 2.3573 and 21.6130 Å, with angles of 90.00, 90.00 and 90.00 degrees. Symmetry generates all atoms from As at (0.0000, 0.0000, 0.0000), P at (0.0000, 0.0000, 0.3345), P at (0.5000, 0.5000, 0.1689) and P at (0.5000, 0.5000, 0.5000).

The calculation puts the density of states at the Fermi level at 0.8009 states/eV per atom. The calculated density is 3.2 g/cm3. The value obtained for the distance to the lowest polymorph of the same formula is 0.590 eV per atom. Its calculated formation energy is 3.88 eV/f.u. As for the crystal system: tetragonal. The calculation puts the spin magnetization at 0.000 Bohr magnetons per cell. The total energy comes out at -27.818 eV per formula unit.

Record 2
DFT (PBE-GGA) results for crystalline BaTcRh at its relaxed geometry.

The space group is P4/nmm (No. 129, origin choice 2) and the conventional cell measures 4.6124, 4.6124 and 7.3511 Å, with angles of 90.00, 90.00 and 90.00 degrees. Symmetry generates all atoms from Ba at (0.2500, 0.2500, 0.1595), Tc at (0.2500, 0.7500, 0.5000) and Rh at (0.2500, 0.2500, 0.6338).

The calculation puts the density of states at the Fermi level at 1.2183 states/eV per atom. The calculated density is 7.2 g/cm3. The value obtained for the distance to the lowest polymorph of the same formula is 0.153 eV per atom. Its calculated formation energy is 0.63 eV/f.u. As for the crystal system: tetragonal. The calculation puts the spin magnetization at 0.000 Bohr magnetons per cell. The total energy comes out at -19.008 eV per formula unit.

Record 3
DFT (PBE-GGA) results for crystalline Sm3Ge2Pt at its relaxed geometry.

The space group is Pnma (No. 62) and the conventional cell measures 11.8201, 4.3633 and 11.6290 Å, with angles of 90.00, 90.00 and 90.00 degrees. Symmetry generates all atoms from Sm at (0.0556, 0.2500, 0.1277), Sm at (0.1202, 0.7500, 0.5584), Sm at (0.2168, 0.2500, 0.8086), Ge at (0.0129, 0.7500, 0.3090), Ge at (0.1877, 0.7500, 0.0030) and Pt at (0.1283, 0.2500, 0.3715).

The calculation puts the density of states at the Fermi level at 0.7938 states/eV per atom. The calculated density is 8.8 g/cm3. Its calculated formation energy is -5.65 eV/f.u. As for the crystal system: orthorhombic. The calculation puts the spin magnetization at 0.158 Bohr magnetons per cell. The total energy comes out at -35.087 eV per formula unit.

Record 4
DFT (PBE-GGA) results for crystalline SrAgP2Cl at its relaxed geometry.

The space group is P4/mmm (No. 123) and the conventional cell measures 4.7134, 4.7134 and 5.8514 Å, with angles of 90.00, 90.00 and 90.00 degrees. Symmetry generates all atoms from Sr at (0.0000, 0.0000, 0.0000), Ag at (0.5000, 0.5000, 0.5000), P at (0.0000, 0.5000, 0.5000) and Cl at (0.5000, 0.5000, 0.0000).

The calculation puts the density of states at the Fermi level at 1.0081 states/eV per atom. The calculated density is 3.7 g/cm3. The value obtained for the distance to the lowest polymorph of the same formula is 0.000 eV per atom. Its formation energy (no corrections) is -0.149 eV/atom. As for the crystal system: tetragonal. The calculation puts the spin magnetization at 0.732 Bohr magnetons per cell. The total energy comes out at -17.944 eV per formula unit.

Record 5
DFT (PBE-GGA) results for crystalline K4YHg at its relaxed geometry.

The space group is F-43m (No. 216) and the conventional cell measures 10.6930, 10.6930 and 10.6930 Å, with angles of 90.00, 90.00 and 90.00 degrees. Symmetry generates all atoms from K at (0.1253, 0.1253, 0.1253), Y at (0.2500, 0.2500, 0.7500) and Hg at (0.0000, 0.0000, 0.5000).

The calculation puts the density of states at the Fermi level at 1.5247 states/eV per atom. The calculated density is 2.4 g/cm3. Its calculated formation energy is 2.90 eV/f.u. As for the crystal system: cubic. The calculation puts the spin magnetization at 0.112 Bohr magnetons per cell. The total energy comes out at -8.255 eV per formula unit.